[1]
La3Pr3Ho2 after structural relaxation, computed with PBE-GGA.

Energy relative to the elements in eV/atom: 0.067
Excess energy over the best structure of this formula in the dataset in eV/atom: 0.047
Magnetization in μB per formula unit: 0.00
Space-group type: C2/m (12)

Geometry as CIF:
```
data_La3Pr3Ho2
_space_group_name_H-M_alt 'P 1'
_space_group_IT_number 1
_cell_length_a 6.123
_cell_length_b 5.882
_cell_length_c 8.979
_cell_angle_alpha 109.12
_cell_angle_beta 109.74
_cell_angle_gamma 90.00
loop_
_space_group_symop_operation_xyz
'x,y,z'
loop_
_atom_site_label
_atom_site_type_symbol
_atom_site_fract_x
_atom_site_fract_y
_atom_site_fract_z
_atom_site_occupancy
La1 La 0.580 0.135 0.270 1
Ho1 Ho 0.182 0.251 0.502 1
Ho2 Ho 0.818 0.749 0.498 1
La2 La 0.420 0.865 0.730 1
La3 La 0.000 0.000 0.000 1
Pr1 Pr 0.808 0.363 0.727 1
Pr2 Pr 0.500 0.500 0.000 1
Pr3 Pr 0.192 0.637 0.273 1
```

[2]
Ac2YRh after structural relaxation, computed with PBE-GGA.

Energy relative to the elements in eV/atom: 0.314
Magnetization in μB per formula unit: 0.00
Space-group type: R-3m (166)

Geometry as CIF:
```
data_Ac2YRh
_space_group_name_H-M_alt 'P 1'
_space_group_IT_number 1
_cell_length_a 3.774
_cell_length_b 3.774
_cell_length_c 11.559
_cell_angle_alpha 80.60
_cell_angle_beta 80.60
_cell_angle_gamma 60.00
loop_
_space_group_symop_operation_xyz
'x,y,z'
loop_
_atom_site_label
_atom_site_type_symbol
_atom_site_fract_x
_atom_site_fract_y
_atom_site_fract_z
_atom_site_occupancy
Ac1 Ac 0.077 0.077 0.769 1
Rh1 Rh 0.000 0.000 0.000 1
Y1 Y 0.500 0.500 0.500 1
Ac2 Ac 0.923 0.923 0.231 1
```

Question: energy relative to the elements of number 1 (La3Pr3Ho2)?
Answer: 0.067 eV/atom

Question: Number 2 is which compound?
Answer: Ac2YRh

Question: What is the magnetization in the second record?
Answer: 0.00 μB per formula unit